(1)
4
Lattice="0.000 3.660 3.660 3.660 0.000 3.660 3.660 3.660 0.000" Properties=species:S:1:pos:R:3 comment="BeCd2I, PBEsol geometry, DFT SCAN" dos_ef_per_ev_cell=1.8 e_form_raw_ev_per_atom=0.8364 relative_energy_ev_per_atom=0.481 pbc="T T T"
Be 0.000 0.000 0.000
Cd 1.830 1.830 1.830
Cd 5.489 5.489 5.489
I 3.660 3.660 3.660

---

(2)
5
Lattice="5.689 0.000 0.000 0.000 5.689 0.000 0.000 0.000 5.604" Properties=species:S:1:pos:R:3 comment="BeCdSbI2, PBEsol geometry, DFT SCAN" dos_ef_per_ev_cell=2.2 e_form_raw_ev_per_atom=0.8675 pbc="T T T"
Be 0.000 0.000 0.000
Cd 2.844 2.844 2.802
Sb 2.844 2.844 0.000
I 0.000 2.844 2.802
I 2.844 0.000 2.802

---

(3)
4
Lattice="2.777 0.000 0.000 0.000 4.225 0.000 0.000 0.000 5.753" Properties=species:S:1:pos:R:3 comment="Be2CdIn, PBEsol geometry, DFT SCAN" formation_enthalpy_0k_mev_per_atom=577 dos_ef_per_ev_cell=1.1 relative_energy_ev_per_atom=0.061 pbc="T T T"
Be 0.000 0.000 0.000
Be 1.389 0.000 2.876
Cd 0.000 2.112 2.876
In 1.389 2.112 0.000

---

(4)
4
Lattice="4.354 0.000 0.000 0.000 4.354 0.000 0.000 0.000 4.216" Properties=species:S:1:pos:R:3 comment="BeCdIn2, PBEsol geometry, DFT SCAN" formation_enthalpy_0k_mev_per_atom=393 dos_ef_per_ev_cell=1.4 pbc="T T T"
Be 0.000 0.000 0.000
Cd 2.177 2.177 0.000
In 0.000 2.177 2.108
In 2.177 0.000 2.108

---

(5)
4
Lattice="2.748 -3.784 0.000 2.748 3.784 0.000 0.000 0.000 3.014" Properties=species:S:1:pos:R:3 comment="Be2CdIn, PBEsol geometry, DFT SCAN" formation_enthalpy_0k_mev_per_atom=515 dos_ef_per_ev_cell=1.4 relative_energy_ev_per_atom=0.000 pbc="T T T"
Be 1.374 1.892 0.000
Be 1.374 -1.892 0.000
Cd 0.000 0.000 1.507
In 2.748 0.000 1.507

---

(6)
4
Lattice="-2.134 2.134 4.143 2.134 -2.134 4.143 2.134 2.134 -4.143" Properties=species:S:1:pos:R:3 comment="BeCd2In, PBEsol geometry, DFT SCAN" formation_enthalpy_0k_mev_per_atom=353 dos_ef_per_ev_cell=1.3 pbc="T T T"
Be 0.000 0.000 0.000
Cd 0.000 0.000 4.143
Cd 0.000 2.134 2.071
In 2.134 0.000 2.071